# RbHfIn (PBE, optimized geometry)
data_RbHfIn
_space_group_name_H-M_alt 'P 1'
_space_group_IT_number 1
_space_group_name_Hall 'P 1'
_cell_length_a 4.897
_cell_length_b 4.898
_cell_length_c 12.668
_cell_angle_alpha 89.81
_cell_angle_beta 79.04
_cell_angle_gamma 60.01
loop_
_atom_site_label
_atom_site_type_symbol
_atom_site_fract_x
_atom_site_fract_y
_atom_site_fract_z
_atom_site_occupancy
Rb1 Rb 0.041 0.233 0.181 1
Rb2 Rb 0.959 0.767 0.819 1
Hf1 Hf 0.168 0.666 0.497 1
Hf2 Hf 0.832 0.334 0.503 1
In1 In 0.424 0.037 0.617 1
In2 In 0.576 0.963 0.383 1
# Space group: P-1 (2)
# Formation energy from the elements in eV/atom: 0.194

---

# TlCuAgBr2 (PBE, optimized geometry)
data_TlCuAgBr2
_space_group_name_H-M_alt 'P 1'
_space_group_IT_number 1
_space_group_name_Hall 'P 1'
_cell_length_a 5.016
_cell_length_b 5.016
_cell_length_c 5.619
_cell_angle_alpha 90.00
_cell_angle_beta 90.00
_cell_angle_gamma 90.00
loop_
_atom_site_label
_atom_site_type_symbol
_atom_site_fract_x
_atom_site_fract_y
_atom_site_fract_z
_atom_site_occupancy
Tl1 Tl 0.000 0.000 0.000 1
Cu1 Cu 0.000 0.000 0.500 1
Ag1 Ag 0.500 0.500 0.000 1
Br1 Br 0.000 0.500 0.500 1
Br2 Br 0.500 0.000 0.500 1
# Raw formation energy in meV per atom: 98.1
# Space group: P4/mmm (123)

---

# SrZnPb2 (PBE, optimized geometry)
data_SrZnPb2
_space_group_name_H-M_alt 'P 1'
_space_group_IT_number 1
_space_group_name_Hall 'P 1'
_cell_length_a 4.903
_cell_length_b 4.903
_cell_length_c 4.789
_cell_angle_alpha 90.00
_cell_angle_beta 90.00
_cell_angle_gamma 90.00
loop_
_atom_site_label
_atom_site_type_symbol
_atom_site_fract_x
_atom_site_fract_y
_atom_site_fract_z
_atom_site_occupancy
Sr1 Sr 0.000 0.000 0.000 1
Zn1 Zn 0.500 0.500 0.000 1
Pb1 Pb 0.000 0.500 0.500 1
Pb2 Pb 0.500 0.000 0.500 1
# Space group: P4/mmm (123)
# Formation energy from the elements in eV/atom: -0.218

---

# Hg3IrO (PBE, optimized geometry)
data_Hg3IrO
_space_group_name_H-M_alt 'P 1'
_space_group_IT_number 1
_space_group_name_Hall 'P 1'
_cell_length_a 4.587
_cell_length_b 4.587
_cell_length_c 4.587
_cell_angle_alpha 90.00
_cell_angle_beta 90.00
_cell_angle_gamma 90.00
loop_
_atom_site_label
_atom_site_type_symbol
_atom_site_fract_x
_atom_site_fract_y
_atom_site_fract_z
_atom_site_occupancy
Hg1 Hg 0.000 0.000 0.500 1
Hg2 Hg 0.000 0.500 0.000 1
Hg3 Hg 0.500 0.000 0.000 1
Ir1 Ir 0.500 0.500 0.500 1
O1 O 0.000 0.000 0.000 1
# Raw formation energy in meV per atom: 750.4
# Space group: Pm-3m (221)

---

# AcZnNiPd (PBE, optimized geometry)
data_AcZnNiPd
_space_group_name_H-M_alt 'P 1'
_space_group_IT_number 1
_space_group_name_Hall 'P 1'
_cell_length_a 5.692
_cell_length_b 5.692
_cell_length_c 5.692
_cell_angle_alpha 44.95
_cell_angle_beta 44.95
_cell_angle_gamma 44.95
loop_
_atom_site_label
_atom_site_type_symbol
_atom_site_fract_x
_atom_site_fract_y
_atom_site_fract_z
_atom_site_occupancy
Ac1 Ac 0.000 0.000 0.000 1
Zn1 Zn 0.508 0.508 0.508 1
Ni1 Ni 0.201 0.201 0.201 1
Pd1 Pd 0.797 0.797 0.797 1
# Space group: R3m (160)
# Formation energy from the elements in eV/atom: -0.523

---

# Al2TeBr (PBE, optimized geometry)
data_Al2TeBr
_space_group_name_H-M_alt 'P 1'
_space_group_IT_number 1
_space_group_name_Hall 'P 1'
_cell_length_a 4.252
_cell_length_b 4.252
_cell_length_c 7.317
_cell_angle_alpha 106.27
_cell_angle_beta 106.27
_cell_angle_gamma 60.19
loop_
_atom_site_label
_atom_site_type_symbol
_atom_site_fract_x
_atom_site_fract_y
_atom_site_fract_z
_atom_site_occupancy
Al1 Al 0.242 0.242 0.236 1
Al2 Al 0.758 0.758 0.764 1
Te1 Te 0.500 0.500 0.000 1
Br1 Br 0.000 0.000 0.500 1
# Raw formation energy in meV per atom: -94.1
# Space group: C2/m (12)

---

# SmNi2PN4 (PBE, optimized geometry)
data_SmNi2PN4
_space_group_name_H-M_alt 'P 1'
_space_group_IT_number 1
_space_group_name_Hall 'P 1'
_cell_length_a 4.841
_cell_length_b 4.841
_cell_length_c 4.841
_cell_angle_alpha 115.49
_cell_angle_beta 115.49
_cell_angle_gamma 98.00
loop_
_atom_site_label
_atom_site_type_symbol
_atom_site_fract_x
_atom_site_fract_y
_atom_site_fract_z
_atom_site_occupancy
Sm1 Sm 0.000 0.000 0.000 1
Ni1 Ni 0.250 0.750 0.500 1
Ni2 Ni 0.750 0.250 0.500 1
P1 P 0.500 0.500 0.000 1
N1 N 0.160 0.530 0.000 1
N2 N 0.470 0.470 0.629 1
N3 N 0.530 0.160 0.000 1
N4 N 0.840 0.840 0.371 1
# Raw formation energy in meV per atom: -521.9
# Space group: I-42m (121)

---

# TaAg2Au (PBE, optimized geometry)
data_TaAg2Au
_space_group_name_H-M_alt 'P 1'
_space_group_IT_number 1
_space_group_name_Hall 'P 1'
_cell_length_a 5.258
_cell_length_b 5.258
_cell_length_c 2.786
_cell_angle_alpha 90.00
_cell_angle_beta 90.00
_cell_angle_gamma 110.91
loop_
_atom_site_label
_atom_site_type_symbol
_atom_site_fract_x
_atom_site_fract_y
_atom_site_fract_z
_atom_site_occupancy
Ta1 Ta 0.000 0.000 0.000 1
Ag1 Ag 0.000 0.500 0.500 1
Ag2 Ag 0.500 0.000 0.500 1
Au1 Au 0.500 0.500 0.000 1
# Space group: Cmmm (65)
# Formation energy from the elements in eV/atom: 0.370